Record 1
Entry from Alexandria via LeMat-Bulk: a relaxed DyCuHg crystal (PBE).

Geometry as POSCAR:
```
DyCuHg
1.0
3.4260 0.0000 0.0000
0.0000 4.6316 0.0000
0.0000 -2.3158 4.0111
Hg Dy Cu
1 1 1
Direct
0.1667 0.3333 0.6667
0.6667 0.6667 0.3333
0.1666 0.0000 0.0000
```

Properties
Energy ... -3.3130 eV/atom
Formation energy from the elements ... -0.31 eV per atom
Symmetry ... P-6m2 (187)
Density ... 11.1 g/cm3



Record 2
Entry from Alexandria via LeMat-Bulk: a relaxed BeAg crystal (PBE).

Geometry as POSCAR:
```
BeAg
1.0
4.8418 0.0000 0.0000
0.0000 4.5037 0.0000
0.0000 0.0000 9.5186
Ag Be
8 8
Direct
0.6700 0.4167 0.2168
0.5832 0.0965 0.5655
0.1700 0.0833 0.7832
0.8300 0.5833 0.7168
0.9168 0.9035 0.0655
0.4168 0.5965 0.9345
0.0832 0.4035 0.4345
0.3300 0.9167 0.2832
0.8362 0.9188 0.3322
0.6639 0.0812 0.8322
0.3362 0.5812 0.6678
0.9204 0.3971 0.9636
0.5796 0.6029 0.4636
0.1638 0.4188 0.1678
0.0796 0.8971 0.5364
0.4204 0.1029 0.0365
```

Properties
Energy ... -3.1155 eV/atom
Formation energy from the elements ... 0.17 eV per atom
Symmetry ... P2_12_12_1 (19)
Density ... 7.5 g/cm3



Record 3
Entry from Alexandria via LeMat-Bulk: a relaxed RbGeRuO6 crystal (PBE).

Geometry as POSCAR:
```
RbGeRuO6
1.0
5.1745 0.0000 -0.0001
2.5873 4.4813 0.0001
0.0001 -0.0002 6.3149
O Rb Ge Ru
6 1 1 1
Direct
0.5912 0.4111 0.6751
0.4111 0.5912 0.3249
0.9976 0.4111 0.3249
0.4111 0.9976 0.6751
0.5912 0.9976 0.3249
0.9976 0.5912 0.6751
0.0000 0.0000 0.0000
0.3333 0.3333 0.5000
0.6666 0.6667 0.5000
```

Properties
Formation energy without anion corrections ... -1.159 eV per atom
Energy ... -6.1159 eV/atom
Symmetry ... P312 (149)
Density ... 4.0 g/cm3